VASP calculation (PBE) on a relaxed structure of Ce2Ni4Sb3Pd.

Values from the calculation:
The value obtained for the uncorrected formation energy is -611 meV/atom. Its total magnetic moment is 0.82 μB/f.u. Its crystal system is tetragonal. The total energy comes out at -5.866 eV per atom.

Cell: 4.295 4.295 10.302 Å, 90.00 90.00 90.00°
Space group P-4m2 (No. 115)
One atom of each set of equivalent atoms:
Ce  0.000  0.500  0.249 x2
Ni  0.000  0.000  0.500 x1
Ni  0.000  0.500  0.867 x2
Ni  0.500  0.500  0.500 x1
Sb  0.000  0.000  0.000 x1
Sb  0.000  0.500  0.629 x2
Pd  0.500  0.500  0.000 x1



VASP calculation (PBE) on a relaxed structure of PmNdSc2.

Values from the calculation:
As for the energy relative to the lowest polymorph listed for this composition: 0.000 eV per atom. Its total magnetic moment is 0.00 μB/f.u. Its crystal system is tetragonal. The total energy comes out at -5.496 eV per atom. The formation energy is 0.05 eV/atom.

Cell: 3.586 3.586 9.092 Å, 90.00 90.00 90.00°
Space group P4/mmm (No. 123)
One atom of each set of equivalent atoms:
Pm  0.000  0.000  0.000 x1
Nd  0.000  0.000  0.500 x1
Sc  0.500  0.500  0.249 x2



- Among the records above, which one has the highest total magnetic moment?
  Ce2Ni4Sb3Pd



- Which of these has the lowest total magnetic moment?
  PmNdSc2



- What is the formula in the second record?
  PmNdSc2